This record from the Alexandria database describes an optimized crystal structure of K2RbGeF8. The functional is PBE.

Values from the calculation:
The raw formation energy comes out at -30.331 eV per formula unit. Its total DFT energy (no corrections) is -53.08 eV per cell. As for the volume: 17.04 Å³ per atom.

a = 5.652 Å, b = 4.869 Å, c = 7.718 Å
α = 74.36°, β = 90.10°, γ = 90.07°
Sites, in units of the cell vectors:
1 K 0.500 0.391 0.801
2 K 0.500 0.609 0.199
3 Rb 0.000 0.000 0.500
4 Ge 0.000 0.000 0.000
5 F 0.000 0.700 0.207
6 F 0.767 0.832 0.898
7 F 0.769 0.168 0.103
8 F 0.000 0.300 0.793
9 F 0.233 0.168 0.102
10 F 0.231 0.832 0.897
11 F 0.500 0.805 0.496
12 F 0.500 0.195 0.504


This record from the Alexandria database describes an optimized crystal structure of Sm2Tm4Sc3. The functional is PBE.

Values from the calculation:
Its total DFT energy (no corrections) is -45.80 eV per cell. As for the volume: 29.34 Å³ per atom. The value obtained for the formation energy is 0.06 eV/atom. The polymorph energy (0 for the lowest one) is 0.000 eV/atom.

a = 3.480 Å, b = 3.480 Å, c = 25.182 Å
α = 90.00°, β = 90.00°, γ = 120.00°
Sites, in units of the cell vectors:
1 Sm 0.667 0.333 0.087
2 Sm 0.667 0.333 0.871
3 Tm 0.000 0.000 0.546
4 Tm 0.667 0.333 0.433
5 Tm 0.667 0.333 0.226
6 Tm 0.000 0.000 0.755
7 Sc 0.000 0.000 0.981
8 Sc 0.000 0.000 0.329
9 Sc 0.667 0.333 0.650


This record from the Alexandria database describes an optimized crystal structure of CuHgPt3. The functional is PBE.

Values from the calculation:
Its total DFT energy (no corrections) is -18.53 eV per cell. As for the volume: 19.61 Å³ per atom. The value obtained for the formation energy is 0.80 eV/atom. The polymorph energy (0 for the lowest one) is 0.000 eV/atom.

a = 4.611 Å, b = 4.611 Å, c = 4.611 Å
α = 90.00°, β = 90.00°, γ = 90.00°
Sites, in units of the cell vectors:
1 Cu 0.000 0.000 0.000
2 Hg 0.500 0.500 0.500
3 Pt 0.000 0.500 0.000
4 Pt 0.000 0.000 0.500
5 Pt 0.500 0.000 0.000


This record from the Alexandria database describes an optimized crystal structure of SrAg2Cl. The functional is PBE.

Values from the calculation:
The raw formation energy comes out at -2.101 eV per formula unit. Its total DFT energy (no corrections) is -11.33 eV per cell. As for the volume: 28.92 Å³ per atom. The polymorph energy (0 for the lowest one) is 0.242 eV/atom.

a = 4.566 Å, b = 4.566 Å, c = 5.549 Å
α = 90.00°, β = 90.00°, γ = 90.00°
Sites, in units of the cell vectors:
1 Ag 0.000 0.000 0.998
2 Ag 0.000 0.000 0.502
3 Cl 0.500 0.500 0.250
4 Sr 0.500 0.500 0.750


This record from the Alexandria database describes an optimized crystal structure of NbReW4. The functional is PBE.

Values from the calculation:
Its total DFT energy (no corrections) is -74.55 eV per cell. As for the volume: 16.25 Å³ per atom. The value obtained for the formation energy is -0.04 eV/atom.

a = 3.188 Å, b = 5.294 Å, c = 6.955 Å
α = 110.21°, β = 103.25°, γ = 107.52°
Sites, in units of the cell vectors:
1 Nb 0.998 0.497 0.002
2 Re 0.498 0.997 0.502
3 W 0.162 0.995 0.833
4 W 0.833 0.999 0.171
5 W 0.665 0.495 0.339
6 W 0.331 0.500 0.665


This record from the Alexandria database describes an optimized crystal structure of Ho2RuBr. The functional is PBE.

Values from the calculation:
The raw formation energy comes out at -2.934 eV per formula unit. Its total DFT energy (no corrections) is -23.04 eV per cell. As for the volume: 25.96 Å³ per atom. The polymorph energy (0 for the lowest one) is 0.047 eV/atom.

a = 3.945 Å, b = 3.945 Å, c = 8.037 Å
α = 75.79°, β = 75.79°, γ = 60.00°
Sites, in units of the cell vectors:
1 Ho 0.065 0.065 0.805
2 Ho 0.270 0.270 0.190
3 Ru 0.667 0.667 0.999
4 Br 0.498 0.498 0.505


This record from the Alexandria database describes an optimized crystal structure of Ca4TlGa2. The functional is PBE.

Values from the calculation:
Its total DFT energy (no corrections) is -18.82 eV per cell. As for the volume: 29.58 Å³ per atom. The value obtained for the formation energy is -0.34 eV/atom.

a = 5.269 Å, b = 5.269 Å, c = 9.134 Å
α = 73.24°, β = 73.24°, γ = 60.00°
Sites, in units of the cell vectors:
1 Ca 0.872 0.872 0.383
2 Ca 0.128 0.128 0.617
3 Ca 0.621 0.621 0.138
4 Ca 0.379 0.379 0.862
5 Tl 0.000 0.000 0.000
6 Ga 0.749 0.749 0.754
7 Ga 0.251 0.251 0.246


This record from the Alexandria database describes an optimized crystal structure of Li2MgIn. The functional is PBE.

Values from the calculation:
Its total DFT energy (no corrections) is -7.85 eV per cell. As for the volume: 22.78 Å³ per atom. The value obtained for the formation energy is 0.08 eV/atom.

a = 3.997 Å, b = 3.997 Å, c = 6.980 Å
α = 73.36°, β = 73.36°, γ = 60.00°
Sites, in units of the cell vectors:
1 Li 0.078 0.078 0.767
2 Li 0.256 0.256 0.232
3 Mg 0.497 0.497 0.509
4 In 0.669 0.669 0.992


This record from the Alexandria database describes an optimized crystal structure of Ba5Br3Cl12. The functional is PBE.

Values from the calculation:
The raw formation energy comes out at -30.413 eV per formula unit. Its total DFT energy (no corrections) is -268.82 eV per cell. As for the volume: 40.50 Å³ per atom.

a = 16.145 Å, b = 16.145 Å, c = 16.145 Å
α = 109.47°, β = 109.47°, γ = 109.47°
Sites, in units of the cell vectors:
1 Br 0.750 0.375 0.125
2 Br 0.875 0.750 0.125
3 Br 0.375 0.750 0.625
4 Br 0.250 0.125 0.375
5 Br 0.875 0.125 0.250
6 Br 0.375 0.625 0.250
7 Br 0.625 0.375 0.750
8 Br 0.125 0.875 0.750
9 Br 0.750 0.875 0.625
10 Br 0.625 0.250 0.375
11 Br 0.125 0.250 0.875
12 Br 0.250 0.625 0.875
13 Ba 0.125 0.375 0.250
14 Ba 0.000 0.500 0.000
15 Ba 0.000 0.000 0.000
16 Ba 0.375 0.250 0.125
17 Ba 0.500 0.000 0.500
18 Ba 0.500 0.500 0.000
19 Ba 0.125 0.750 0.375
20 Ba 0.750 0.125 0.875
21 Ba 0.750 0.625 0.375
22 Ba 0.375 0.125 0.750
23 Ba 0.625 0.875 0.250
24 Ba 0.500 0.500 0.500
25 Ba 0.500 0.000 0.000
26 Ba 0.000 0.000 0.500
27 Ba 0.250 0.375 0.625
28 Ba 0.250 0.875 0.125
29 Ba 0.000 0.500 0.500
30 Ba 0.875 0.250 0.625
31 Ba 0.625 0.750 0.875
32 Ba 0.875 0.625 0.750
33 Cl 0.718 0.100 0.038
34 Cl 0.320 0.538 0.438
35 Cl 0.962 0.400 0.282
36 Cl 0.538 0.218 0.100
37 Cl 0.617 0.718 0.680
38 Cl 0.962 0.562 0.180
39 Cl 0.320 0.782 0.383
40 Cl 0.062 0.883 0.100
41 Cl 0.562 0.962 0.680
42 Cl 0.718 0.617 0.180
43 Cl 0.782 0.462 0.400
44 Cl 0.820 0.938 0.038
45 Cl 0.100 0.718 0.538
46 Cl 0.400 0.438 0.117
47 Cl 0.117 0.938 0.400
48 Cl 0.383 0.100 0.562
49 Cl 0.117 0.180 0.218
50 Cl 0.462 0.680 0.062
51 Cl 0.820 0.883 0.282
52 Cl 0.100 0.383 0.062
53 Cl 0.400 0.962 0.782
54 Cl 0.562 0.600 0.383
55 Cl 0.938 0.820 0.538
56 Cl 0.782 0.320 0.883
57 Cl 0.438 0.400 0.617
58 Cl 0.062 0.180 0.462
59 Cl 0.218 0.680 0.117
60 Cl 0.180 0.117 0.718
61 Cl 0.600 0.038 0.218
62 Cl 0.900 0.617 0.938
63 Cl 0.538 0.320 0.938
64 Cl 0.617 0.900 0.438
65 Cl 0.883 0.820 0.782
66 Cl 0.883 0.062 0.600
67 Cl 0.900 0.282 0.462
68 Cl 0.180 0.062 0.962
69 Cl 0.600 0.562 0.883
70 Cl 0.438 0.038 0.320
71 Cl 0.282 0.383 0.820
72 Cl 0.218 0.538 0.600
73 Cl 0.938 0.117 0.900
74 Cl 0.680 0.218 0.617
75 Cl 0.462 0.782 0.900
76 Cl 0.038 0.438 0.820
77 Cl 0.383 0.282 0.320
78 Cl 0.038 0.600 0.718
79 Cl 0.680 0.462 0.562
80 Cl 0.282 0.900 0.962


This record from the Alexandria database describes an optimized crystal structure of Tl3Sb5Se12. The functional is PBE.

Values from the calculation:
The raw formation energy comes out at -2.628 eV per formula unit. Its total DFT energy (no corrections) is -288.61 eV per cell. As for the volume: 32.47 Å³ per atom.

a = 15.000 Å, b = 15.000 Å, c = 15.000 Å
α = 109.47°, β = 109.47°, γ = 109.47°
Sites, in units of the cell vectors:
1 Tl 0.750 0.375 0.125
2 Tl 0.875 0.750 0.125
3 Tl 0.375 0.750 0.625
4 Tl 0.250 0.125 0.375
5 Tl 0.875 0.125 0.250
6 Tl 0.375 0.625 0.250
7 Tl 0.625 0.375 0.750
8 Tl 0.125 0.875 0.750
9 Tl 0.750 0.875 0.625
10 Tl 0.625 0.250 0.375
11 Tl 0.125 0.250 0.875
12 Tl 0.250 0.625 0.875
13 Sb 0.125 0.375 0.250
14 Sb 0.000 0.500 0.000
15 Sb 0.000 0.000 0.000
16 Sb 0.375 0.250 0.125
17 Sb 0.500 0.000 0.500
18 Sb 0.500 0.500 0.000
19 Sb 0.125 0.750 0.375
20 Sb 0.750 0.125 0.875
21 Sb 0.750 0.625 0.375
22 Sb 0.375 0.125 0.750
23 Sb 0.625 0.875 0.250
24 Sb 0.500 0.500 0.500
25 Sb 0.500 0.000 0.000
26 Sb 0.000 0.000 0.500
27 Sb 0.250 0.375 0.625
28 Sb 0.250 0.875 0.125
29 Sb 0.000 0.500 0.500
30 Sb 0.875 0.250 0.625
31 Sb 0.625 0.750 0.875
32 Sb 0.875 0.625 0.750
33 Se 0.710 0.117 0.027
34 Se 0.317 0.527 0.410
35 Se 0.973 0.383 0.290
36 Se 0.527 0.210 0.117
37 Se 0.594 0.710 0.683
38 Se 0.973 0.590 0.183
39 Se 0.317 0.790 0.406
40 Se 0.090 0.906 0.117
41 Se 0.590 0.973 0.683
42 Se 0.710 0.594 0.183
43 Se 0.790 0.473 0.383
44 Se 0.817 0.910 0.027
45 Se 0.117 0.710 0.527
46 Se 0.383 0.410 0.094
47 Se 0.094 0.910 0.383
48 Se 0.406 0.117 0.590
49 Se 0.094 0.183 0.210
50 Se 0.473 0.683 0.090
51 Se 0.817 0.906 0.290
52 Se 0.117 0.406 0.090
53 Se 0.383 0.973 0.790
54 Se 0.590 0.617 0.406
55 Se 0.910 0.817 0.527
56 Se 0.790 0.317 0.906
57 Se 0.410 0.383 0.594
58 Se 0.090 0.183 0.473
59 Se 0.210 0.683 0.094
60 Se 0.183 0.094 0.710
61 Se 0.617 0.027 0.210
62 Se 0.883 0.594 0.910
63 Se 0.527 0.317 0.910
64 Se 0.594 0.883 0.410
65 Se 0.906 0.817 0.790
66 Se 0.906 0.090 0.617
67 Se 0.883 0.290 0.473
68 Se 0.183 0.090 0.973
69 Se 0.617 0.590 0.906
70 Se 0.410 0.027 0.317
71 Se 0.290 0.406 0.817
72 Se 0.210 0.527 0.617
73 Se 0.910 0.094 0.883
74 Se 0.683 0.210 0.594
75 Se 0.473 0.790 0.883
76 Se 0.027 0.410 0.817
77 Se 0.406 0.290 0.317
78 Se 0.027 0.617 0.710
79 Se 0.683 0.473 0.590
80 Se 0.290 0.883 0.973


This record from the Alexandria database describes an optimized crystal structure of CaTaRh2. The functional is PBE.

Values from the calculation:
Its total DFT energy (no corrections) is -27.70 eV per cell. As for the volume: 17.08 Å³ per atom. The value obtained for the formation energy is 0.21 eV/atom.

a = 4.589 Å, b = 4.589 Å, c = 4.589 Å
α = 60.00°, β = 60.00°, γ = 60.00°
Sites, in units of the cell vectors:
1 Ca 0.500 0.500 0.500
2 Rh 0.000 0.000 0.000
3 Rh 0.250 0.250 0.250
4 Ta 0.750 0.750 0.750


This record from the Alexandria database describes an optimized crystal structure of ScMnIn2. The functional is PBE.

Values from the calculation:
Its total DFT energy (no corrections) is -21.16 eV per cell. As for the volume: 20.84 Å³ per atom. The value obtained for the formation energy is -0.04 eV/atom.

a = 5.539 Å, b = 5.539 Å, c = 5.539 Å
α = 135.14°, β = 135.14°, γ = 65.32°
Sites, in units of the cell vectors:
1 In 0.000 0.000 0.000
2 In 0.250 0.750 0.500
3 Mn 0.500 0.500 0.000
4 Sc 0.750 0.250 0.500


Please write out number 3 again, unchanged.
This record from the Alexandria database describes an optimized crystal structure of CuHgPt3. The functional is PBE.

Values from the calculation:
Its total DFT energy (no corrections) is -18.53 eV per cell. As for the volume: 19.61 Å³ per atom. The value obtained for the formation energy is 0.80 eV/atom. The polymorph energy (0 for the lowest one) is 0.000 eV/atom.

a = 4.611 Å, b = 4.611 Å, c = 4.611 Å
α = 90.00°, β = 90.00°, γ = 90.00°
Sites, in units of the cell vectors:
1 Cu 0.000 0.000 0.000
2 Hg 0.500 0.500 0.500
3 Pt 0.000 0.500 0.000
4 Pt 0.000 0.000 0.500
5 Pt 0.500 0.000 0.000


- Which value of total DFT energy (no corrections) does entry 6 give?
  -23.04 eV per cell


- Which of these has the lowest volume?
  NbReW4


- Which formula does entry 12 have?
  ScMnIn2